a) Computed, not measured: crystalline CaTaP2 at its relaxed geometry at the PBE-GGA level of DFT.

## Properties
space-group type	C2/m, No. 12
total magnetization	0.000	μB per formula unit

Structure (CIF):
```
data_CaTaP2
_chemical_formula_sum 'Ca1 Ta1 P2'
_cell_length_a 4.950
_cell_length_b 4.950
_cell_length_c 3.106
_cell_angle_alpha 77.78
_cell_angle_beta 77.78
_cell_angle_gamma 92.22
_symmetry_space_group_name_H-M 'P 1'
_symmetry_Int_Tables_number 1
loop_
_symmetry_equiv_pos_as_xyz
'x,y,z'
loop_
_atom_site_label
_atom_site_type_symbol
_atom_site_fract_x
_atom_site_fract_y
_atom_site_fract_z
_atom_site_occupancy
P1 P 0.500 0.500 0.000 1
P2 P 0.000 0.000 0.000 1
Ca1 Ca 0.000 0.500 0.500 1
Ta1 Ta 0.500 0.000 0.500 1
```

=====

b) Computed, not measured: crystalline CaTaP2 at its relaxed geometry at the PBE-GGA level of DFT.

## Properties
space-group type	F-43m, No. 216
total magnetization	0.053	μB per formula unit

Structure (CIF):
```
data_CaTaP2
_chemical_formula_sum 'Ca1 Ta1 P2'
_cell_length_a 4.609
_cell_length_b 4.609
_cell_length_c 4.609
_cell_angle_alpha 60.00
_cell_angle_beta 60.00
_cell_angle_gamma 60.00
_symmetry_space_group_name_H-M 'P 1'
_symmetry_Int_Tables_number 1
loop_
_symmetry_equiv_pos_as_xyz
'x,y,z'
loop_
_atom_site_label
_atom_site_type_symbol
_atom_site_fract_x
_atom_site_fract_y
_atom_site_fract_z
_atom_site_occupancy
Ca1 Ca 0.500 0.500 0.500 1
P1 P 0.750 0.750 0.750 1
P2 P 0.000 0.000 0.000 1
Ta1 Ta 0.250 0.250 0.250 1
```

=====

Quick ranking, most stable first: a), b).

=====

a) Computed, not measured: crystalline CaTaP2 at its relaxed geometry at the PBE-GGA level of DFT.

## Properties
space-group type	Immm, No. 71
total magnetization	0.000	μB per formula unit

Structure (CIF):
```
data_CaTaP2
_chemical_formula_sum 'Ca1 Ta1 P2'
_cell_length_a 4.933
_cell_length_b 4.933
_cell_length_c 4.933
_cell_angle_alpha 134.55
_cell_angle_beta 113.18
_cell_angle_gamma 84.54
_symmetry_space_group_name_H-M 'P 1'
_symmetry_Int_Tables_number 1
loop_
_symmetry_equiv_pos_as_xyz
'x,y,z'
loop_
_atom_site_label
_atom_site_type_symbol
_atom_site_fract_x
_atom_site_fract_y
_atom_site_fract_z
_atom_site_occupancy
P1 P 0.520 0.520 0.000 1
P2 P 0.980 0.980 0.000 1
Ca1 Ca 0.250 0.750 0.500 1
Ta1 Ta 0.750 0.250 0.500 1
```

=====

b) Computed, not measured: crystalline CaTaP2 at its relaxed geometry at the PBE-GGA level of DFT.

## Properties
space-group type	Fm-3m, No. 225
total magnetization	1.278	μB per formula unit

Structure (CIF):
```
data_CaTaP2
_chemical_formula_sum 'Ca1 Ta1 P2'
_cell_length_a 4.637
_cell_length_b 4.637
_cell_length_c 4.637
_cell_angle_alpha 60.00
_cell_angle_beta 60.00
_cell_angle_gamma 60.00
_symmetry_space_group_name_H-M 'P 1'
_symmetry_Int_Tables_number 1
loop_
_symmetry_equiv_pos_as_xyz
'x,y,z'
loop_
_atom_site_label
_atom_site_type_symbol
_atom_site_fract_x
_atom_site_fract_y
_atom_site_fract_z
_atom_site_occupancy
P1 P 0.250 0.250 0.250 1
P2 P 0.750 0.750 0.750 1
Ca1 Ca 0.000 0.000 0.000 1
Ta1 Ta 0.500 0.500 0.500 1
```

=====

c) Computed, not measured: crystalline CaTaP2 at its relaxed geometry at the PBE-GGA level of DFT.

## Properties
space-group type	Amm2, No. 38
total magnetization	0.513	μB per formula unit

Structure (CIF):
```
data_CaTaP2
_chemical_formula_sum 'Ca1 Ta1 P2'
_cell_length_a 4.820
_cell_length_b 3.612
_cell_length_c 5.107
_cell_angle_alpha 69.31
_cell_angle_beta 90.00
_cell_angle_gamma 90.00
_symmetry_space_group_name_H-M 'P 1'
_symmetry_Int_Tables_number 1
loop_
_symmetry_equiv_pos_as_xyz
'x,y,z'
loop_
_atom_site_label
_atom_site_type_symbol
_atom_site_fract_x
_atom_site_fract_y
_atom_site_fract_z
_atom_site_occupancy
Ca1 Ca 0.500 0.655 0.815 1
Ta1 Ta 0.000 0.394 0.337 1
P1 P 0.000 0.079 0.967 1
P2 P 0.500 0.372 0.381 1
```

=====

d) Computed, not measured: crystalline CaTaP2 at its relaxed geometry at the PBE-GGA level of DFT.

## Properties
space-group type	I-4m2, No. 119
total magnetization	0.000	μB per formula unit

Structure (CIF):
```
data_CaTaP2
_chemical_formula_sum 'Ca1 Ta1 P2'
_cell_length_a 5.699
_cell_length_b 5.699
_cell_length_c 5.699
_cell_angle_alpha 141.20
_cell_angle_beta 141.20
_cell_angle_gamma 56.04
_symmetry_space_group_name_H-M 'P 1'
_symmetry_Int_Tables_number 1
loop_
_symmetry_equiv_pos_as_xyz
'x,y,z'
loop_
_atom_site_label
_atom_site_type_symbol
_atom_site_fract_x
_atom_site_fract_y
_atom_site_fract_z
_atom_site_occupancy
Ta1 Ta 0.500 0.500 0.000 1
P1 P 0.000 0.000 0.000 1
P2 P 0.250 0.750 0.500 1
Ca1 Ca 0.750 0.250 0.500 1
```

=====

Quick ranking, most stable first: c), a), b), d).

=====

a) Computed, not measured: crystalline CaTa2P2 at its relaxed geometry at the PBE-GGA level of DFT.

## Properties
space-group type	I4/mmm, No. 139
total magnetization	0.000	μB per formula unit

Structure (CIF):
```
data_CaTa2P2
_chemical_formula_sum 'Ca1 Ta2 P2'
_cell_length_a 4.770
_cell_length_b 4.770
_cell_length_c 5.506
_cell_angle_alpha 64.33
_cell_angle_beta 64.33
_cell_angle_gamma 90.00
_symmetry_space_group_name_H-M 'P 1'
_symmetry_Int_Tables_number 1
loop_
_symmetry_equiv_pos_as_xyz
'x,y,z'
loop_
_atom_site_label
_atom_site_type_symbol
_atom_site_fract_x
_atom_site_fract_y
_atom_site_fract_z
_atom_site_occupancy
P1 P 0.250 0.750 0.500 1
P2 P 0.750 0.250 0.500 1
Ta1 Ta 0.352 0.352 0.297 1
Ta2 Ta 0.648 0.648 0.703 1
Ca1 Ca 0.000 0.000 0.000 1
```

=====

b) Computed, not measured: crystalline CaTa2P2 at its relaxed geometry at the PBE-GGA level of DFT.

## Properties
space-group type	P4/mbm, No. 127
total magnetization	0.000	μB per formula unit

Structure (CIF):
```
data_CaTa2P2
_chemical_formula_sum 'Ca2 Ta4 P4'
_cell_length_a 7.487
_cell_length_b 7.487
_cell_length_c 3.131
_cell_angle_alpha 90.00
_cell_angle_beta 90.00
_cell_angle_gamma 90.00
_symmetry_space_group_name_H-M 'P 1'
_symmetry_Int_Tables_number 1
loop_
_symmetry_equiv_pos_as_xyz
'x,y,z'
loop_
_atom_site_label
_atom_site_type_symbol
_atom_site_fract_x
_atom_site_fract_y
_atom_site_fract_z
_atom_site_occupancy
P1 P 0.843 0.343 0.500 1
P2 P 0.657 0.843 0.500 1
P3 P 0.157 0.657 0.500 1
P4 P 0.343 0.157 0.500 1
Ta1 Ta 0.871 0.629 0.000 1
Ta2 Ta 0.129 0.371 0.000 1
Ta3 Ta 0.629 0.129 0.000 1
Ta4 Ta 0.371 0.871 0.000 1
Ca1 Ca 0.000 0.000 0.000 1
Ca2 Ca 0.500 0.500 0.000 1
```

=====

Quick ranking, most stable first: a), b).

=====

a) Computed, not measured: crystalline CaTbP2 at its relaxed geometry at the PBE-GGA level of DFT.

## Properties
space-group type	R-3m, No. 166
total magnetization	0.000	μB per formula unit

Structure (CIF):
```
data_CaTbP2
_chemical_formula_sum 'Ca1 Tb1 P2'
_cell_length_a 4.043
_cell_length_b 4.043
_cell_length_c 7.190
_cell_angle_alpha 73.67
_cell_angle_beta 73.67
_cell_angle_gamma 60.00
_symmetry_space_group_name_H-M 'P 1'
_symmetry_Int_Tables_number 1
loop_
_symmetry_equiv_pos_as_xyz
'x,y,z'
loop_
_atom_site_label
_atom_site_type_symbol
_atom_site_fract_x
_atom_site_fract_y
_atom_site_fract_z
_atom_site_occupancy
Ca1 Ca 0.500 0.500 0.500 1
P1 P 0.746 0.746 0.763 1
P2 P 0.254 0.254 0.237 1
Tb1 Tb 0.000 0.000 0.000 1
```

=====

b) Computed, not measured: crystalline CaTbP2 at its relaxed geometry at the PBE-GGA level of DFT.

## Properties
space-group type	R3m, No. 160
total magnetization	0.000	μB per formula unit

Structure (CIF):
```
data_CaTbP2
_chemical_formula_sum 'Ca1 Tb1 P2'
_cell_length_a 4.031
_cell_length_b 4.031
_cell_length_c 7.341
_cell_angle_alpha 74.06
_cell_angle_beta 74.06
_cell_angle_gamma 60.00
_symmetry_space_group_name_H-M 'P 1'
_symmetry_Int_Tables_number 1
loop_
_symmetry_equiv_pos_as_xyz
'x,y,z'
loop_
_atom_site_label
_atom_site_type_symbol
_atom_site_fract_x
_atom_site_fract_y
_atom_site_fract_z
_atom_site_occupancy
P1 P 0.078 0.078 0.765 1
P2 P 0.256 0.256 0.233 1
Ca1 Ca 0.496 0.496 0.511 1
Tb1 Tb 0.669 0.669 0.992 1
```

=====

Quick ranking, most stable first: a), b).

=====

a) Computed, not measured: crystalline CaTl2P2 at its relaxed geometry at the PBE-GGA level of DFT.

## Properties
space-group type	I4/mmm, No. 139
total magnetization	0.000	μB per formula unit

Structure (CIF):
```
data_CaTl2P2
_chemical_formula_sum 'Ca1 Tl2 P2'
_cell_length_a 4.269
_cell_length_b 4.269
_cell_length_c 7.802
_cell_angle_alpha 74.12
_cell_angle_beta 74.12
_cell_angle_gamma 90.00
_symmetry_space_group_name_H-M 'P 1'
_symmetry_Int_Tables_number 1
loop_
_symmetry_equiv_pos_as_xyz
'x,y,z'
loop_
_atom_site_label
_atom_site_type_symbol
_atom_site_fract_x
_atom_site_fract_y
_atom_site_fract_z
_atom_site_occupancy
Tl1 Tl 0.750 0.250 0.500 1
Tl2 Tl 0.250 0.750 0.500 1
Ca1 Ca 0.000 0.000 0.000 1
P1 P 0.575 0.575 0.851 1
P2 P 0.425 0.425 0.149 1
```

=====

b) Computed, not measured: crystalline CaTl2P2 at its relaxed geometry at the PBE-GGA level of DFT.

## Properties
space-group type	I4/mmm, No. 139
total magnetization	0.000	μB per formula unit

Structure (CIF):
```
data_CaTl2P2
_chemical_formula_sum 'Ca1 Tl2 P2'
_cell_length_a 5.221
_cell_length_b 5.221
_cell_length_c 6.006
_cell_angle_alpha 64.24
_cell_angle_beta 64.24
_cell_angle_gamma 90.00
_symmetry_space_group_name_H-M 'P 1'
_symmetry_Int_Tables_number 1
loop_
_symmetry_equiv_pos_as_xyz
'x,y,z'
loop_
_atom_site_label
_atom_site_type_symbol
_atom_site_fract_x
_atom_site_fract_y
_atom_site_fract_z
_atom_site_occupancy
Ca1 Ca 0.000 0.000 0.000 1
P1 P 0.250 0.750 0.500 1
P2 P 0.750 0.250 0.500 1
Tl1 Tl 0.350 0.350 0.300 1
Tl2 Tl 0.650 0.650 0.700 1
```

=====

Quick ranking, most stable first: a), b).

=====

a) Computed, not measured: crystalline CaTlP2 at its relaxed geometry at the PBE-GGA level of DFT.

## Properties
space-group type	P4/mmm, No. 123
total magnetization	0.000	μB per formula unit

Structure (CIF):
```
data_CaTlP2
_chemical_formula_sum 'Ca1 Tl1 P2'
_cell_length_a 3.909
_cell_length_b 3.909
_cell_length_c 6.509
_cell_angle_alpha 90.00
_cell_angle_beta 90.00
_cell_angle_gamma 90.00
_symmetry_space_group_name_H-M 'P 1'
_symmetry_Int_Tables_number 1
loop_
_symmetry_equiv_pos_as_xyz
'x,y,z'
loop_
_atom_site_label
_atom_site_type_symbol
_atom_site_fract_x
_atom_site_fract_y
_atom_site_fract_z
_atom_site_occupancy
Ca1 Ca 0.500 0.500 0.750 1
P1 P 0.000 0.000 0.583 1
P2 P 0.000 0.000 0.917 1
Tl1 Tl 0.500 0.500 0.250 1
```

=====

b) Computed, not measured: crystalline CaTlP2 at its relaxed geometry at the PBE-GGA level of DFT.

## Properties
space-group type	I-4m2, No. 119
total magnetization	0.000	μB per formula unit

Structure (CIF):
```
data_CaTlP2
_chemical_formula_sum 'Ca1 Tl1 P2'
_cell_length_a 6.008
_cell_length_b 6.008
_cell_length_c 6.008
_cell_angle_alpha 140.30
_cell_angle_beta 140.30
_cell_angle_gamma 57.40
_symmetry_space_group_name_H-M 'P 1'
_symmetry_Int_Tables_number 1
loop_
_symmetry_equiv_pos_as_xyz
'x,y,z'
loop_
_atom_site_label
_atom_site_type_symbol
_atom_site_fract_x
_atom_site_fract_y
_atom_site_fract_z
_atom_site_occupancy
P1 P 0.000 0.000 0.000 1
P2 P 0.250 0.750 0.500 1
Ca1 Ca 0.750 0.250 0.500 1
Tl1 Tl 0.500 0.500 0.000 1
```

=====

Quick ranking, most stable first: a), b).

=====

a) Computed, not measured: crystalline CaTlP2 at its relaxed geometry at the PBE-GGA level of DFT.

## Properties
space-group type	I-42d, No. 122
total magnetization	0.000	μB per formula unit

Structure (CIF):
```
data_CaTlP2
_chemical_formula_sum 'Ca2 Tl2 P4'
_cell_length_a 7.397
_cell_length_b 7.397
_cell_length_c 6.320
_cell_angle_alpha 54.18
_cell_angle_beta 54.18
_cell_angle_gamma 90.00
_symmetry_space_group_name_H-M 'P 1'
_symmetry_Int_Tables_number 1
loop_
_symmetry_equiv_pos_as_xyz
'x,y,z'
loop_
_atom_site_label
_atom_site_type_symbol
_atom_site_fract_x
_atom_site_fract_y
_atom_site_fract_z
_atom_site_occupancy
Ca1 Ca 0.500 0.500 0.000 1
Ca2 Ca 0.250 0.750 0.500 1
Tl1 Tl 0.000 0.000 0.000 1
Tl2 Tl 0.750 0.250 0.500 1
P1 P 0.875 0.904 0.750 1
P2 P 0.375 0.346 0.750 1
P3 P 0.654 0.125 0.250 1
P4 P 0.096 0.625 0.250 1
```

=====

b) Computed, not measured: crystalline CaTlP2 at its relaxed geometry at the PBE-GGA level of DFT.

## Properties
space-group type	Cm, No. 8
total magnetization	0.000	μB per formula unit

Structure (CIF):
```
data_CaTlP2
_chemical_formula_sum 'Ca1 Tl1 P2'
_cell_length_a 7.994
_cell_length_b 7.994
_cell_length_c 4.050
_cell_angle_alpha 120.32
_cell_angle_beta 120.32
_cell_angle_gamma 27.77
_symmetry_space_group_name_H-M 'P 1'
_symmetry_Int_Tables_number 1
loop_
_symmetry_equiv_pos_as_xyz
'x,y,z'
loop_
_atom_site_label
_atom_site_type_symbol
_atom_site_fract_x
_atom_site_fract_y
_atom_site_fract_z
_atom_site_occupancy
Ca1 Ca 0.686 0.686 0.749 1
P1 P 0.268 0.268 0.412 1
P2 P 0.106 0.106 0.088 1
Tl1 Tl 0.440 0.440 0.252 1
```

=====

c) Computed, not measured: crystalline CaTlP2 at its relaxed geometry at the PBE-GGA level of DFT.

## Properties
space-group type	F-43m, No. 216
total magnetization	0.000	μB per formula unit

Structure (CIF):
```
data_CaTlP2
_chemical_formula_sum 'Ca1 Tl1 P2'
_cell_length_a 5.015
_cell_length_b 5.015
_cell_length_c 5.015
_cell_angle_alpha 60.00
_cell_angle_beta 60.00
_cell_angle_gamma 60.00
_symmetry_space_group_name_H-M 'P 1'
_symmetry_Int_Tables_number 1
loop_
_symmetry_equiv_pos_as_xyz
'x,y,z'
loop_
_atom_site_label
_atom_site_type_symbol
_atom_site_fract_x
_atom_site_fract_y
_atom_site_fract_z
_atom_site_occupancy
Tl1 Tl 0.250 0.250 0.250 1
P1 P 0.750 0.750 0.750 1
P2 P 0.000 0.000 0.000 1
Ca1 Ca 0.500 0.500 0.500 1
```

=====

Quick ranking, most stable first: b), a), c).

=====

a) Computed, not measured: crystalline CaTlP2 at its relaxed geometry at the PBE-GGA level of DFT.

## Properties
space-group type	P4/mmm, No. 123
total magnetization	0.000	μB per formula unit

Structure (CIF):
```
data_CaTlP2
_chemical_formula_sum 'Ca1 Tl1 P2'
_cell_length_a 3.230
_cell_length_b 3.230
_cell_length_c 8.846
_cell_angle_alpha 90.00
_cell_angle_beta 90.00
_cell_angle_gamma 90.00
_symmetry_space_group_name_H-M 'P 1'
_symmetry_Int_Tables_number 1
loop_
_symmetry_equiv_pos_as_xyz
'x,y,z'
loop_
_atom_site_label
_atom_site_type_symbol
_atom_site_fract_x
_atom_site_fract_y
_atom_site_fract_z
_atom_site_occupancy
Tl1 Tl 0.500 0.500 0.000 1
Ca1 Ca 0.500 0.500 0.500 1
P1 P 0.000 0.000 0.723 1
P2 P 0.000 0.000 0.277 1
```

=====

b) Computed, not measured: crystalline CaTlP2 at its relaxed geometry at the PBE-GGA level of DFT.

## Properties
space-group type	Imm2, No. 44
total magnetization	0.000	μB per formula unit

Structure (CIF):
```
data_CaTlP2
_chemical_formula_sum 'Ca1 Tl1 P2'
_cell_length_a 6.667
_cell_length_b 6.667
_cell_length_c 6.667
_cell_angle_alpha 149.22
_cell_angle_beta 139.87
_cell_angle_gamma 51.41
_symmetry_space_group_name_H-M 'P 1'
_symmetry_Int_Tables_number 1
loop_
_symmetry_equiv_pos_as_xyz
'x,y,z'
loop_
_atom_site_label
_atom_site_type_symbol
_atom_site_fract_x
_atom_site_fract_y
_atom_site_fract_z
_atom_site_occupancy
Tl1 Tl 0.461 0.461 0.000 1
P1 P 0.219 0.719 0.500 1
P2 P 0.083 0.083 0.000 1
Ca1 Ca 0.736 0.236 0.500 1
```

=====

Quick ranking, most stable first: b), a).